[1]
Mg3Co2 | PBE | optimized geometry

Structure (extended XYZ):
```
10
Lattice="2.1687 -2.5212 -4.5018 2.0624 4.9094 1.7233 4.1177 -5.4707 1.5682" Properties=species:S:1:pos:R:3 pbc="T T T"
Mg 5.0083 -1.1466 1.4542
Mg 6.3439 -2.1159 -0.8388
Co 5.9452 -5.2908 -1.1314
Mg 2.0048 -0.9666 -0.3714
Co 3.8332 1.1598 1.1971
Mg 4.2326 -3.6066 0.3018
Mg 4.1162 0.5241 -1.5120
Co 4.5155 -4.2424 -2.4073
Mg 3.3405 -1.9359 -2.6644
Co 2.4036 2.2083 -0.0788
```

Calculated values
ρ: 3.74 g/cm3
spin magnetization: 2.32 μB per formula unit
DFT total energy: -3.456 eV/atom

---

[2]
MgCo2 | PBE | optimized geometry

Structure (extended XYZ):
```
12
Lattice="4.8004 0.0000 0.0000 -2.4002 4.1573 0.0000 0.0000 0.0000 7.8474" Properties=species:S:1:pos:R:3 pbc="T T T"
Co 1.2296 0.7099 1.9619
Mg 0.0000 2.7714 0.4951
Co 0.0000 0.0000 3.9237
Mg 0.0000 2.7714 3.4287
Co 0.0000 0.0000 0.0000
Co 3.5708 0.7099 1.9619
Mg 2.4002 1.3859 4.4188
Co 2.4002 2.7374 1.9619
Mg 2.4002 1.3859 7.3524
Co 0.0000 1.4199 5.8856
Co 1.1706 3.4474 5.8856
Co -1.1706 3.4474 5.8856
```

Calculated values
ρ: 6.03 g/cm3
spin magnetization: 0.00 μB per formula unit
DFT total energy: -5.233 eV/atom

---

[3]
MgCo | PBE | optimized geometry

Structure (extended XYZ):
```
8
Lattice="-2.2222 -3.6221 3.5376 4.1504 -1.5601 -3.3033 2.8725 1.2063 3.0395" Properties=species:S:1:pos:R:3 pbc="T T T"
Co 2.4653 -3.5798 2.2073
Co 1.3940 -0.7007 2.0772
Mg -0.1456 -4.3424 1.8610
Co 0.1577 -2.7136 4.0444
Mg 0.9208 -2.6051 0.1636
Mg 3.4634 -1.6440 0.4957
Co 4.1485 -1.5607 -3.3013
Mg -1.0704 -1.8572 1.7487
```

Calculated values
ρ: 4.79 g/cm3
spin magnetization: 1.32 μB per formula unit
DFT total energy: -4.038 eV/atom

---

[4]
MgCo | PBE | optimized geometry

Structure (extended XYZ):
```
8
Lattice="4.2105 0.0000 0.0000 0.0000 6.7282 0.0000 0.0000 0.0000 4.2116" Properties=species:S:1:pos:R:3 pbc="T T T"
Mg 1.7541 1.9831 0.0000
Mg 3.8594 6.4272 0.0000
Mg 3.8598 1.9831 2.1058
Co 1.7536 4.7785 0.0000
Co 3.8588 3.6317 0.0000
Mg 1.7546 6.4272 2.1058
Co 1.7551 3.6317 2.1058
Co 3.8603 4.7785 2.1058
```

Calculated values
ρ: 4.63 g/cm3
spin magnetization: 1.51 μB per formula unit
DFT total energy: -4.260 eV/atom

---

[5]
MgCo | PBE | optimized geometry

Structure (extended XYZ):
```
16
Lattice="4.6709 0.0000 0.0000 0.0000 11.1280 0.0000 0.0000 0.0000 4.3721" Properties=species:S:1:pos:R:3 pbc="T T T"
Co 2.4306 4.1730 0.0000
Mg 3.9787 1.3799 2.1861
Mg 2.2491 6.9431 0.0000
Mg 1.4911 2.8738 2.1861
Mg 0.0655 8.4374 0.0000
Co 3.7973 9.7370 2.1861
Mg 2.2491 1.4029 0.0000
Co 1.6509 10.8942 2.1861
Mg 0.0655 11.0367 0.0000
Co 1.6509 8.5798 2.1861
Mg 3.9787 6.9661 2.1861
Co 2.4410 9.7370 0.0000
Mg 1.4911 5.4723 2.1861
Co 4.5771 5.3305 0.0000
Co 3.7867 4.1730 2.1861
Co 4.5771 3.0155 0.0000
```

Calculated values
ρ: 4.87 g/cm3
spin magnetization: 0.00 μB per formula unit
DFT total energy: -4.081 eV/atom

---

[6]
MgCo | PBE | optimized geometry

Structure (extended XYZ):
```
8
Lattice="-0.7872 -8.6499 -4.5696 1.9567 -1.1289 1.7999 -3.1367 -1.1386 2.6956" Properties=species:S:1:pos:R:3 pbc="T T T"
Co -0.9485 -5.0730 0.1668
Co 0.7621 -2.9405 -0.3552
Mg -0.0287 -0.3152 -0.1665
Co -2.0737 -6.1227 -1.5859
Mg -1.2829 -8.7475 -1.7744
Co -0.3632 -3.9907 -2.1082
Mg -1.7499 -2.5643 0.2939
Mg 0.4384 -6.4977 -2.2345
```

Calculated values
ρ: 4.55 g/cm3
spin magnetization: 0.03 μB per formula unit
DFT total energy: -4.083 eV/atom

---

[7]
MgCo | PBE | optimized geometry

Structure (extended XYZ):
```
16
Lattice="9.5229 0.0000 0.0000 0.0000 5.6305 0.0000 0.0000 0.0000 4.3566" Properties=species:S:1:pos:R:3 pbc="T T T"
Mg 2.2696 1.3673 0.0000
Mg 4.0790 1.4479 2.1783
Co 5.0792 2.8153 0.0000
Co 6.8408 0.0000 2.1783
Co 8.7429 1.3619 2.1783
Co 1.2694 0.0000 2.1783
Co 7.1286 1.4533 0.0000
Mg 1.2404 2.8153 2.1783
Mg 4.0790 4.1826 2.1783
Mg 9.2760 0.0000 0.0000
Mg 5.1082 0.0000 0.0000
Co 9.0307 2.8153 0.0000
Co 8.7429 4.2686 2.1783
Co 7.1286 4.1772 0.0000
Mg 2.2696 4.2632 0.0000
Mg 6.5955 2.8153 2.1783
```

Calculated values
ρ: 4.73 g/cm3
spin magnetization: 1.31 μB per formula unit
DFT total energy: -4.143 eV/atom

---

[8]
MgCo | PBE | optimized geometry

Structure (extended XYZ):
```
10
Lattice="2.1073 3.6471 0.0000 -6.0957 5.9485 0.0000 0.0000 0.0000 4.1978" Properties=species:S:1:pos:R:3 pbc="T T T"
Mg -4.5102 5.3913 2.0989
Mg -2.8397 4.4739 0.0000
Mg -1.7874 6.2987 2.0989
Co -1.3857 3.6423 2.0989
Co 0.6130 4.9207 2.0989
Mg -0.0457 0.4308 0.0000
Mg 1.0089 2.2538 2.0989
Co -0.3636 5.4712 0.0000
Co -0.4201 3.0729 0.0000
Co -3.4139 7.2888 0.0000
```

Calculated values
ρ: 4.74 g/cm3
spin magnetization: 0.02 μB per formula unit
DFT total energy: -4.110 eV/atom

---

[9]
MgCo | PBE | optimized geometry

Structure (extended XYZ):
```
16
Lattice="-3.9123 1.0680 2.9245 2.1765 -8.6403 6.0670 2.5830 2.4490 2.5611" Properties=species:S:1:pos:R:3 pbc="T T T"
Co -1.4595 -0.9048 6.0912
Mg -1.3553 -2.9522 4.1899
Mg -2.0644 -0.1374 2.2134
Mg -1.9801 -5.4941 7.2506
Co -1.9295 0.9610 4.7811
Co -0.2891 -5.0872 5.1562
Co 1.3455 -2.8135 5.0875
Co 0.8193 -4.2472 3.2350
Mg 1.7653 -4.9394 6.6969
Mg -0.3925 -3.0409 7.0578
Co -0.2691 0.0734 0.2011
Mg 0.2306 -0.4974 3.9971
Mg 0.3159 -5.8532 9.0325
Co 0.2571 1.5069 2.0538
Co 0.1807 -6.9524 6.4659
Mg 0.3986 -2.1203 1.6255
```

Calculated values
ρ: 4.68 g/cm3
spin magnetization: 1.33 μB per formula unit
DFT total energy: -4.203 eV/atom

---

[10]
MgCo | PBE | optimized geometry

Structure (extended XYZ):
```
12
Lattice="6.9846 -1.3478 0.0000 0.0370 5.5791 0.0000 0.0000 0.0000 4.4310" Properties=species:S:1:pos:R:3 pbc="T T T"
Mg 0.0457 0.0402 0.0000
Co 2.2802 1.5785 0.0000
Co 6.2449 0.2539 2.2155
Co 6.3002 2.6612 2.2155
Mg 4.8191 2.7476 0.0000
Mg 4.6103 0.0628 0.0000
Mg 3.7607 1.4970 2.2155
Co 1.4087 2.8003 2.2155
Co 0.1809 2.7925 0.0000
Co 2.3304 3.9814 0.0000
Mg 1.5075 -0.0286 2.2155
Mg 3.9591 4.1803 2.2155
```

Calculated values
ρ: 4.80 g/cm3
spin magnetization: 1.15 μB per formula unit
DFT total energy: -4.079 eV/atom

---

[11]
NaMgCoMo | PBE | optimized geometry

Structure (extended XYZ):
```
4
Lattice="0.0000 3.1439 3.1439 3.1439 0.0000 3.1439 3.1439 3.1439 0.0000" Properties=species:S:1:pos:R:3 pbc="T T T"
Mo 1.5720 1.5720 1.5720
Co 0.0000 0.0000 0.0000
Na 4.7159 4.7159 4.7159
Mg 3.1439 3.1439 3.1439
```

Calculated values
energy relative to the lowest polymorph listed for this composition: 86.4 meV per atom
ρ: 5.40 g/cm3
spin magnetization: 0.01 μB per formula unit
DFT total energy: -4.451 eV/atom

---

[12]
NaMgCoMo | PBE | optimized geometry

Structure (extended XYZ):
```
4
Lattice="2.9636 1.9242 2.6376 -0.7016 4.0903 1.4898 -0.9399 0.6651 4.2564" Properties=species:S:1:pos:R:3 pbc="T T T"
Mo 0.3305 1.6699 2.0960
Na 0.6611 3.3399 4.1919
Mg 0.9916 5.0098 6.2878
Co 0.0000 0.0000 0.0000
```

Calculated values
energy relative to the lowest polymorph listed for this composition: 0.0 meV per atom
ρ: 5.54 g/cm3
spin magnetization: 0.03 μB per formula unit
DFT total energy: -4.538 eV/atom

---

[13]
MgCoSbMo | PBE | optimized geometry

Structure (extended XYZ):
```
4
Lattice="-1.9157 -3.5777 -1.8715 -4.2931 -0.9255 0.8279 -3.0599 0.5285 -3.2141" Properties=species:S:1:pos:R:3 pbc="T T T"
Sb 0.0000 0.0000 0.0000
Mo -2.3172 -0.9937 -1.0644
Co -6.9515 -2.9810 -3.1933
Mg -4.6343 -1.9874 -2.1289
```

Calculated values
energy relative to the lowest polymorph listed for this composition: 0.0 meV per atom
ρ: 7.92 g/cm3
spin magnetization: 0.70 μB per formula unit
DFT total energy: -5.625 eV/atom

---

[14]
MgCoSnMo | PBE | optimized geometry

Structure (extended XYZ):
```
4
Lattice="0.0000 3.1889 3.1889 3.1889 0.0000 3.1889 3.1889 3.1889 0.0000" Properties=species:S:1:pos:R:3 pbc="T T T"
Mg 3.1889 3.1889 3.1889
Co 4.7834 4.7834 4.7834
Mo 1.5945 1.5945 1.5945
Sn 0.0000 0.0000 0.0000
```

Calculated values
energy relative to the lowest polymorph listed for this composition: 0.0 meV per atom
ρ: 7.63 g/cm3
spin magnetization: 2.26 μB per formula unit
DFT total energy: -5.555 eV/atom

---

[15]
MgZnCoMo | PBE | optimized geometry

Structure (extended XYZ):
```
4
Lattice="-2.4540 -3.4387 0.7442 -3.3279 -0.8562 -2.5676 0.1533 -3.3608 -2.6612" Properties=species:S:1:pos:R:3 pbc="T T T"
Mg -1.4072 -1.9139 -1.1212
Zn 0.0000 0.0000 0.0000
Co -4.2215 -5.7418 -3.3635
Mo -2.8143 -3.8279 -2.2423
```

Calculated values
energy relative to the lowest polymorph listed for this composition: 0.0 meV per atom
ρ: 7.28 g/cm3
spin magnetization: 1.00 μB per formula unit
DFT total energy: -4.944 eV/atom

---

[16]
Mg2CoN3 | PBE | optimized geometry

Structure (extended XYZ):
```
12
Lattice="5.0678 -2.9509 0.0000 5.0678 2.9509 0.0000 0.0000 0.0000 4.5295" Properties=species:S:1:pos:R:3 pbc="T T T"
Co 5.0678 0.9979 2.1540
Co 5.0678 -0.9979 4.4188
N 5.0678 -0.6995 1.6560
Mg 3.4134 1.9473 4.2635
N 3.5483 -1.8770 4.1860
Mg 6.7221 1.9473 4.2635
N 6.5872 -1.8770 4.1860
N 5.0678 0.6995 3.9208
N 6.5872 1.8770 1.9212
Mg 6.7221 -1.9473 1.9987
N 3.5483 1.8770 1.9212
Mg 3.4134 -1.9473 1.9987
```

Calculated values
ρ: 3.67 g/cm3
spin magnetization: 0.00 μB per formula unit
DFT total energy: -6.056 eV/atom

---

[17]
Mg3CoN | PBE | optimized geometry

Structure (extended XYZ):
```
5
Lattice="4.1760 0.0000 0.0000 0.0000 4.1760 0.0000 0.0000 0.0000 4.1760" Properties=species:S:1:pos:R:3 pbc="T T T"
Mg 2.0880 0.0000 2.0880
Mg 2.0880 2.0880 0.0000
Co 0.0000 0.0000 0.0000
N 2.0880 2.0880 2.0880
Mg 0.0000 2.0880 2.0880
```

Calculated values
ρ: 3.33 g/cm3
spin magnetization: 0.62 μB per formula unit
DFT total energy: -4.062 eV/atom

---

Looking at calculated volume for the records above, in order, we have 16.92 13.05 14.41 14.91 14.20 15.20 14.60 14.59 14.77 14.41 15.54 15.15 15.78 16.21 13.95 11.29 14.57 Å³/atom.